No. 1
The following is a PBE calculation of an optimized crystal structure of GdEr2Sc3OsS2, from OQMD.

Structure (extended XYZ):
```
9
Lattice="3.8731 0.0000 0.0000 0.0000 6.4562 3.7745 0.0000 -6.4562 3.7745" Properties=species:S:1:pos:R:3 pbc="T T T"
Gd 0.0000 0.0000 0.0000
Er 0.0000 -2.6320 2.9071
Er 0.0000 2.6320 2.9071
Sc 1.9365 0.0000 2.5562
Sc 1.9365 -1.5622 5.3625
Sc 1.9365 1.5622 5.3625
Os 0.0000 0.0000 4.3391
S 1.9365 -4.2957 4.4417
S 1.9365 4.2957 4.4417
```

## Properties
symmetry	Amm2 (38)
E	-60.25	eV per formula unit

No. 2
The following is a PBE calculation of an optimized crystal structure of Gd2ErSc3OsSe2, from OQMD.

Structure (extended XYZ):
```
9
Lattice="3.9296 0.0000 0.0000 0.0000 6.6958 3.8269 0.0000 -6.6958 3.8269" Properties=species:S:1:pos:R:3 pbc="T T T"
Gd 0.0000 -3.9768 3.8269
Gd 0.0000 3.9768 3.8269
Er 0.0000 0.0000 3.0438
Sc 1.9648 0.0000 0.2398
Sc 1.9648 -1.6131 5.2028
Sc 1.9648 1.6131 5.2028
Os 0.0000 0.0000 5.9959
Se 1.9648 -2.2164 2.2840
Se 1.9648 2.2164 2.2840
```

## Properties
symmetry	Amm2 (38)
E	-58.98	eV per formula unit

No. 3
The following is a PBE calculation of an optimized crystal structure of GdEr2Sc3OsSe2, from OQMD.

Structure (extended XYZ):
```
9
Lattice="3.9126 0.0000 0.0000 0.0000 6.5868 3.8689 0.0000 -6.5868 3.8689" Properties=species:S:1:pos:R:3 pbc="T T T"
Gd 0.0000 0.0000 0.0000
Er 0.0000 -2.6362 3.0570
Er 0.0000 2.6362 3.0570
Sc 1.9563 0.0000 2.7150
Sc 1.9563 -1.5512 5.5293
Sc 1.9563 1.5512 5.5293
Os 0.0000 0.0000 4.4865
Se 1.9563 -4.3772 4.6073
Se 1.9563 4.3772 4.6073
```

## Properties
symmetry	Amm2 (38)
E	-58.83	eV per formula unit

No. 4
The following is a PBE calculation of an optimized crystal structure of Gd2ErTm3OsSe2, from OQMD.

Structure (extended XYZ):
```
9
Lattice="3.9765 0.0000 0.0000 0.0000 6.9873 3.9434 0.0000 -6.9873 3.9434" Properties=species:S:1:pos:R:3 pbc="T T T"
Gd 0.0000 -4.1571 3.9434
Gd 0.0000 4.1571 3.9434
Er 0.0000 0.0000 4.7214
Tm 1.9883 -1.7215 2.5518
Tm 1.9883 1.7215 2.5518
Tm 1.9883 0.0000 7.5782
Os 0.0000 0.0000 1.6933
Se 1.9883 -2.3385 5.5368
Se 1.9883 2.3385 5.5368
```

## Properties
symmetry	Amm2 (38)
E	-52.91	eV per formula unit

No. 5
The following is a PBE calculation of an optimized crystal structure of GdErSi4Os2, from OQMD.

Structure (extended XYZ):
```
8
Lattice="4.4215 0.0000 0.0000 0.0000 4.0910 0.0000 -1.6716 0.0000 7.9662" Properties=species:S:1:pos:R:3 pbc="T T T"
Gd 0.0000 0.0000 0.0000
Er 2.6354 2.0455 4.7376
Si -0.1501 2.0455 2.3469
Si 0.4769 0.0000 5.6570
Si 0.5035 2.0455 7.0763
Si 2.8062 0.0000 2.4367
Os 0.6277 0.0000 3.3155
Os 2.0318 2.0455 1.4666
```

## Properties
symmetry	Pm (6)
E	-59.21	eV per formula unit

No. 6
The following is a PBE calculation of an optimized crystal structure of Gd3Er3Te2Os, from OQMD.

Structure (extended XYZ):
```
9
Lattice="8.3310 0.0000 0.0000 -4.1655 7.2149 0.0000 0.0000 0.0000 4.0249" Properties=species:S:1:pos:R:3 pbc="T T T"
Gd -1.0130 1.7547 0.0000
Gd 2.0261 0.0000 0.0000
Gd 3.1525 5.4602 0.0000
Er -2.5451 4.4082 2.0125
Er 1.6204 2.8067 2.0125
Er 5.0901 0.0000 2.0125
Te 0.0000 4.8099 0.0000
Te 4.1655 2.4050 0.0000
Os 0.0000 0.0000 2.0125
```

## Properties
symmetry	P-62m (189)
energy relative to the lowest polymorph listed for this composition	76.7	meV/atom
E	-51.22	eV per formula unit

No. 7
The following is a PBE calculation of an optimized crystal structure of Gd3Er3Te2Os, from OQMD.

Structure (extended XYZ):
```
9
Lattice="8.2853 0.0000 0.0000 -4.1426 7.1753 0.0000 0.0000 0.0000 4.0669" Properties=species:S:1:pos:R:3 pbc="T T T"
Gd -2.5145 4.3552 0.0000
Gd 1.6281 2.8200 0.0000
Gd 5.0290 0.0000 0.0000
Er -0.9802 1.6978 2.0334
Er 1.9604 0.0000 2.0334
Er 3.1624 5.4775 2.0334
Te 0.0000 4.7835 2.0334
Te 4.1426 2.3917 2.0334
Os 0.0000 0.0000 0.0000
```

## Properties
symmetry	P-62m (189)
energy relative to the lowest polymorph listed for this composition	0.0	meV/atom
E	-51.91	eV per formula unit

No. 8
The following is a PBE calculation of an optimized crystal structure of Gd2Er3ZrTe2Os, from OQMD.

Structure (extended XYZ):
```
9
Lattice="3.9739 0.0000 0.0000 0.0000 7.0750 4.1902 0.0000 -7.0750 4.1902" Properties=species:S:1:pos:R:3 pbc="T T T"
Gd 0.0000 -5.3971 4.1902
Gd 0.0000 5.3971 4.1902
Er 1.9869 0.0000 2.4127
Er 1.9869 -2.7002 5.7024
Er 1.9869 2.7002 5.7024
Zr 0.0000 0.0000 5.2939
Te 0.0000 -2.3366 3.1794
Te 0.0000 2.3366 3.1794
Os 1.9869 0.0000 7.0240
```

## Properties
symmetry	Amm2 (38)
E	-55.22	eV per formula unit

No. 9
The following is a PBE calculation of an optimized crystal structure of GdEr3Zr2Te2Os, from OQMD.

Structure (extended XYZ):
```
9
Lattice="3.9242 0.0000 0.0000 0.0000 7.1249 4.0335 0.0000 -7.1249 4.0335" Properties=species:S:1:pos:R:3 pbc="T T T"
Gd 0.0000 0.0000 0.0000
Er 1.9621 -4.2533 3.6781
Er 1.9621 0.0000 2.9988
Er 1.9621 4.2533 3.6781
Zr 0.0000 -1.7255 5.2071
Zr 0.0000 1.7255 5.2071
Te 0.0000 -2.4094 2.1098
Te 0.0000 2.4094 2.1098
Os 1.9621 0.0000 5.8096
```

## Properties
symmetry	Amm2 (38)
E	-59.09	eV per formula unit

No. 10
The following is a PBE calculation of an optimized crystal structure of Gd2ErP3, from OQMD.

Structure (extended XYZ):
```
6
Lattice="4.0221 0.0000 0.0000 -2.0111 3.4833 0.0000 0.0000 0.0000 9.8480" Properties=species:S:1:pos:R:3 pbc="T T T"
Gd 0.0000 2.3222 3.2618
Gd 2.0111 1.1611 6.5861
Er 0.0000 0.0000 0.0000
P 0.0000 0.0000 4.9240
P 0.0000 2.3222 8.2501
P 2.0111 1.1611 1.5979
```

## Properties
symmetry	P-3m1 (164)
E	-39.74	eV per formula unit

No. 11
The following is a PBE calculation of an optimized crystal structure of GdErPa, from OQMD.

Structure (extended XYZ):
```
3
Lattice="0.0000 3.7159 3.7159 3.7159 0.0000 3.7159 3.7159 3.7159 0.0000" Properties=species:S:1:pos:R:3 pbc="T T T"
Gd 0.0000 0.0000 0.0000
Er 1.8579 1.8579 1.8579
Pa 3.7159 3.7159 3.7159
```

## Properties
formation energy from the elements	1084	meV per atom
symmetry	F-43m (216)
energy relative to the lowest polymorph listed for this composition	0.0	meV/atom
E	-15.46	eV per formula unit

No. 12
The following is a PBE calculation of an optimized crystal structure of GdErPb2, from OQMD.

Structure (extended XYZ):
```
4
Lattice="4.4338 0.0000 0.0000 0.0000 2.2534 5.8305 0.0000 -2.2534 5.8305" Properties=species:S:1:pos:R:3 pbc="T T T"
Gd 0.0000 0.0000 0.0000
Er 2.2169 0.0000 8.6361
Pb 0.0000 0.0000 3.1432
Pb 2.2169 0.0000 5.4944
```

## Properties
symmetry	Amm2 (38)
E	-18.52	eV per formula unit

No. 13
The following is a PBE calculation of an optimized crystal structure of GdErPb, from OQMD.

Structure (extended XYZ):
```
3
Lattice="0.0000 3.6532 3.6532 3.6532 0.0000 3.6532 3.6532 3.6532 0.0000" Properties=species:S:1:pos:R:3 pbc="T T T"
Gd 0.0000 0.0000 0.0000
Er 3.6532 3.6532 3.6532
Pb 5.4798 5.4798 5.4798
```

## Properties
symmetry	F-43m (216)
energy relative to the lowest polymorph listed for this composition	0.0	meV/atom
E	-13.49	eV per formula unit

No. 14
The following is a PBE calculation of an optimized crystal structure of Gd2ErPdPt2Pb3, from OQMD.

Structure (extended XYZ):
```
9
Lattice="3.9661 0.0000 0.0000 0.0000 6.7081 3.8974 0.0000 -6.7081 3.8974" Properties=species:S:1:pos:R:3 pbc="T T T"
Gd 0.0000 -3.9800 3.8974
Gd 0.0000 3.9800 3.8974
Er 0.0000 0.0000 4.7557
Pd 0.0000 0.0000 1.6096
Pt 1.9830 -2.2032 5.4686
Pt 1.9830 2.2032 5.4686
Pb 1.9830 -1.7582 2.6045
Pb 1.9830 1.7582 2.6045
Pb 1.9830 0.0000 7.3444
```

## Properties
symmetry	Amm2 (38)
E	-49.65	eV per formula unit

No. 15
The following is a PBE calculation of an optimized crystal structure of GdErPt4Pb2, from OQMD.

Structure (extended XYZ):
```
8
Lattice="4.6559 0.0000 0.0000 -2.3279 4.0321 0.0000 0.0000 0.0000 9.0598" Properties=species:S:1:pos:R:3 pbc="T T T"
Gd 0.0000 0.0000 0.0000
Er 0.0000 2.6881 4.5299
Pt 0.0000 0.0000 3.1409
Pt 0.0000 0.0000 5.9189
Pt 0.0000 2.6881 1.4134
Pt 0.0000 2.6881 7.6464
Pb 2.3279 1.3440 2.2796
Pb 2.3279 1.3440 6.7801
```

## Properties
symmetry	P-6m2 (187)
E	-47.01	eV per formula unit

No. 16
The following is a PBE calculation of an optimized crystal structure of GdErPd2, from OQMD.

Structure (extended XYZ):
```
8
Lattice="4.5356 0.0000 0.0000 0.0000 5.5782 0.0000 0.0000 0.0000 6.9966" Properties=species:S:1:pos:R:3 pbc="T T T"
Gd 0.0000 0.5951 0.0000
Gd 0.0000 4.9831 3.4983
Er 2.2678 2.1930 4.4473
Er 2.2678 3.3852 0.9490
Pd 0.0000 2.2721 2.5281
Pd 0.0000 3.3061 6.0264
Pd 2.2678 0.5517 1.9274
Pd 2.2678 5.0265 5.4257
```

## Properties
formation energy from the elements	-926	meV per atom
symmetry	Pmc2_1 (26)
E	-23.27	eV per formula unit

No. 17
The following is a PBE calculation of an optimized crystal structure of GdErPd, from OQMD.

Structure (extended XYZ):
```
3
Lattice="0.0000 3.4420 3.4420 3.4420 0.0000 3.4420 3.4420 3.4420 0.0000" Properties=species:S:1:pos:R:3 pbc="T T T"
Gd 0.0000 0.0000 0.0000
Er 3.4420 3.4420 3.4420
Pd 5.1629 5.1629 5.1629
```

## Properties
formation energy from the elements	-480	meV per atom
symmetry	F-43m (216)
energy relative to the lowest polymorph listed for this composition	0.0	meV/atom
E	-15.83	eV per formula unit

No. 18
The following is a PBE calculation of an optimized crystal structure of GdErSnPd2, from OQMD.

Structure (extended XYZ):
```
5
Lattice="3.5793 0.0000 0.0000 0.0000 2.1293 7.3077 0.0000 -2.1293 7.3077" Properties=species:S:1:pos:R:3 pbc="T T T"
Gd 0.0000 0.0000 0.0000
Er 0.0000 0.0000 3.8366
Sn 1.7897 0.0000 9.2280
Pd 1.7897 0.0000 6.4170
Pd 1.7897 0.0000 11.9795
```

## Properties
symmetry	Amm2 (38)
E	-28.10	eV per formula unit

No. 19
The following is a PBE calculation of an optimized crystal structure of Gd3ErTm2Te2Pd, from OQMD.

Structure (extended XYZ):
```
9
Lattice="3.9692 0.0000 0.0000 0.0000 7.2709 4.1910 0.0000 -7.2709 4.1910" Properties=species:S:1:pos:R:3 pbc="T T T"
Gd 0.0000 0.0000 0.0000
Gd 0.0000 -2.9280 3.3229
Gd 0.0000 2.9280 3.3229
Er 1.9846 0.0000 2.9554
Tm 1.9846 -1.7777 6.0353
Tm 1.9846 1.7777 6.0353
Te 1.9846 -4.8437 5.0098
Te 1.9846 4.8437 5.0098
Pd 0.0000 0.0000 5.0224
```

## Properties
symmetry	Amm2 (38)
E	-46.45	eV per formula unit

No. 20
The following is a PBE calculation of an optimized crystal structure of GdErTlPd2, from OQMD.

Structure (extended XYZ):
```
5
Lattice="3.6602 0.0000 0.0000 0.0000 2.0642 7.5386 0.0000 -2.0642 7.5386" Properties=species:S:1:pos:R:3 pbc="T T T"
Gd 0.0000 0.0000 0.0000
Er 0.0000 0.0000 4.0551
Tl 1.8301 0.0000 9.5646
Pd 1.8301 0.0000 6.6632
Pd 1.8301 0.0000 12.4086
```

## Properties
symmetry	Amm2 (38)
E	-25.77	eV per formula unit

No. 21
The following is a PBE calculation of an optimized crystal structure of PmGdEr, from OQMD.

Structure (extended XYZ):
```
3
Lattice="0.0000 3.8472 3.8472 3.8472 0.0000 3.8472 3.8472 3.8472 0.0000" Properties=species:S:1:pos:R:3 pbc="T T T"
Pm 0.0000 0.0000 0.0000
Gd 3.8472 3.8472 3.8472
Er 5.7708 5.7708 5.7708
```

## Properties
formation energy from the elements	706	meV per atom
symmetry	F-43m (216)
energy relative to the lowest polymorph listed for this composition	0.0	meV/atom
E	-11.85	eV per formula unit

No. 22
The following is a PBE calculation of an optimized crystal structure of GdErPt2, from OQMD.

Structure (extended XYZ):
```
8
Lattice="5.5715 0.0000 0.0000 0.0000 4.5077 0.0000 -0.0873 0.0000 7.0244" Properties=species:S:1:pos:R:3 pbc="T T T"
Gd 0.7704 1.1269 1.2857
Gd 4.7139 3.3808 5.7388
Er 1.9478 1.1269 4.7833
Er 3.5365 3.3808 2.2411
Pt 0.8444 3.3808 3.2170
Pt 1.8530 3.3808 6.6942
Pt 3.6313 1.1269 0.3302
Pt 4.6399 1.1269 3.8074
```

## Properties
formation energy from the elements	-1283	meV per atom
symmetry	P2_1/m (11)
energy relative to the lowest polymorph listed for this composition	1.9	meV/atom
E	-26.46	eV per formula unit

No. 23
The following is a PBE calculation of an optimized crystal structure of GdEr3Pt4, from OQMD.

Structure (extended XYZ):
```
8
Lattice="5.5412 0.0000 0.0000 0.0000 4.4927 0.0000 -0.0376 0.0000 6.9968" Properties=species:S:1:pos:R:3 pbc="T T T"
Gd 0.0000 0.0000 0.0000
Er 1.1893 0.0000 3.4945
Er 2.7620 2.2464 0.9591
Er 3.9502 2.2464 4.4457
Pt 0.0761 2.2464 1.9544
Pt 1.1071 2.2464 5.3793
Pt 2.8158 0.0000 6.0185
Pt 3.8659 0.0000 2.5517
```

## Properties
formation energy from the elements	-1299	meV per atom
symmetry	Pm (6)
E	-52.96	eV per formula unit

No. 24
The following is a PBE calculation of an optimized crystal structure of GdErPt2, from OQMD.

Structure (extended XYZ):
```
8
Lattice="4.5109 0.0000 0.0000 0.0000 7.0346 0.0000 0.0000 0.0000 5.5573" Properties=species:S:1:pos:R:3 pbc="T T T"
Gd 0.0000 0.4829 0.0000
Gd 2.2554 6.5517 2.7786
Er 0.0000 3.9941 1.2101
Er 2.2554 3.0405 3.9888
Pt 0.0000 1.5059 2.8632
Pt 0.0000 4.9098 3.9074
Pt 2.2554 2.1248 1.1288
Pt 2.2554 5.5287 0.0845
```

## Properties
formation energy from the elements	-1285	meV per atom
symmetry	Pmn2_1 (31)
energy relative to the lowest polymorph listed for this composition	0.0	meV/atom
E	-26.47	eV per formula unit

No. 25
The following is a PBE calculation of an optimized crystal structure of GdErPt2, from OQMD.

Structure (extended XYZ):
```
8
Lattice="4.5033 0.0000 0.0000 0.0000 5.5687 0.0000 0.0000 0.0000 7.0348" Properties=species:S:1:pos:R:3 pbc="T T T"
Gd 0.0000 0.6137 0.0000
Gd 0.0000 4.9550 3.5174
Er 2.2517 2.1753 4.4746
Er 2.2517 3.3933 0.9572
Pt 0.0000 2.2626 2.5570
Pt 0.0000 3.3060 6.0744
Pt 2.2517 0.5355 1.9273
Pt 2.2517 5.0332 5.4447
```

## Properties
formation energy from the elements	-1282	meV per atom
symmetry	Pmc2_1 (26)
energy relative to the lowest polymorph listed for this composition	2.9	meV/atom
E	-26.46	eV per formula unit

No. 26
The following is a PBE calculation of an optimized crystal structure of GdErSi2Pt4, from OQMD.

Structure (extended XYZ):
```
8
Lattice="7.0916 0.0000 0.0000 0.0000 1.9464 5.0926 0.0000 -1.9464 5.0926" Properties=species:S:1:pos:R:3 pbc="T T T"
Gd 0.0000 0.0000 0.0000
Er 3.5458 0.0000 1.0836
Si 0.0000 0.0000 2.8823
Si 3.5458 0.0000 8.3897
Pt 1.4286 0.0000 7.0992
Pt 2.1358 0.0000 4.1764
Pt 4.9558 0.0000 4.1764
Pt 5.6630 0.0000 7.0992
```

## Properties
symmetry	Amm2 (38)
E	-53.54	eV per formula unit